Here is a relaxed structure of Tb7DyTm4 from Alexandria via LeMat-Bulk. Energies are from PBE.

Lattice parameters (Å, degrees): 7.1185 9.4098 8.7632 81.07 90.00 40.93
Element x y z (fractional)
Tb  0.7511  0.5006  0.0006
Tb  0.2489  0.4994  0.9994
Tb  0.9714  0.2797  0.6649
Tb  0.0286  0.7203  0.3351
Tb  0.2218  0.7786  0.6655
Tb  0.5000  0.0000  0.0000
Tb  0.7782  0.2214  0.3345
Dy  0.0000  0.0000  0.0000
Tm  0.5294  0.7216  0.3341
Tm  0.4706  0.2784  0.6659
Tm  0.7206  0.7797  0.6651
Tm  0.2794  0.2203  0.3349

For the formation energy, the calculation gives 0.00 eV per atom. The value obtained for the total magnetic moment is 0.000 μB per atom. Its crystal system is triclinic. The electronic total energy comes out at -4.58 eV per atom. The calculation puts the density of states at the Fermi level at 1.294 states/eV/atom.